Computed, not measured: a relaxed SrSi2Tc crystal at the PBE level of DFT.

Output
For the formation energy from raw total energies, the calculation gives 0.27 eV/atom. The value obtained for the distance to the lowest polymorph of the same formula is 0.605 eV per atom. Its electronic total energy is -21.80 eV per cell.

Lattice parameters (Å, degrees): 4.6566 4.6566 4.6566 60.00 60.00 60.00
With the nearest neighbours (Å) after each atom.
Atoms (fractional coordinates):
Sr 0.0000 0.0000 0.0000  8 Si 2.85
Si 0.2500 0.2500 0.2500  4 Tc 2.85, 4 Sr 2.85
Si 0.7500 0.7500 0.7500  4 Tc 2.85, 4 Sr 2.85
Tc 0.5000 0.5000 0.5000  8 Si 2.85